TlSeF3 | PBE | optimized geometry

Output
**Space group**: Pm-3m
**E_form (uncorrected)**: -95 kJ per mole of atoms
**Energy above the lowest structure with this stoichiometry**: 477 meV/atom
**Crystal system**: cubic
**Electronic total energy**: -3.273 eV per atom

a = 4.5431 Å, b = 4.5431 Å, c = 4.5431 Å
α = 90.00°, β = 90.00°, γ = 90.00°
Fractional coordinates of all 5 atoms:
Tl 0.0000 0.0000 0.0000
Se 0.5000 0.5000 0.5000
F 0.0000 0.5000 0.0000
F 0.0000 0.0000 0.5000
F 0.5000 0.0000 0.0000